No. 1
Material: TmGa4Pd3
Method: DFT, PBE-GGA
State: optimized geometry

Geometry as CIF:
```
data_TmGa4Pd3
_space_group_name_H-M_alt 'I m m m'
_space_group_IT_number 71
_space_group_name_Hall '-I 2 2'
_cell_length_a 3.112
_cell_length_b 6.707
_cell_length_c 13.658
_cell_angle_alpha 90.00
_cell_angle_beta 90.00
_cell_angle_gamma 90.00
loop_
_atom_site_label
_atom_site_type_symbol
_atom_site_fract_x
_atom_site_fract_y
_atom_site_fract_z
Tm1 Tm 0.000 0.000 0.000
Ga1 Ga 0.000 0.314 0.153
Pd1 Pd 0.000 0.000 0.500
Pd2 Pd 0.000 0.500 0.326
```

---

No. 2
Material: TmGa2Pd7
Method: DFT, PBE-GGA
State: optimized geometry

Geometry as CIF:
```
data_TmGa2Pd7
_space_group_name_H-M_alt 'C m m m'
_space_group_IT_number 65
_space_group_name_Hall '-C 2 2'
_cell_length_a 7.335
_cell_length_b 12.193
_cell_length_c 4.474
_cell_angle_alpha 90.00
_cell_angle_beta 90.00
_cell_angle_gamma 90.00
loop_
_atom_site_label
_atom_site_type_symbol
_atom_site_fract_x
_atom_site_fract_y
_atom_site_fract_z
Tm1 Tm 0.000 0.000 0.000
Ga1 Ga 0.000 0.301 0.500
Pd1 Pd 0.000 0.223 0.000
Pd2 Pd 0.000 0.500 0.500
Pd3 Pd 0.187 0.119 0.500
```

Calculated values
Distance to the lowest polymorph of the same formula   379.3 meV/atom

---

No. 3
Material: Tm8GaPd2
Method: DFT, PBE-GGA
State: optimized geometry

Geometry as CIF:
```
data_Tm8GaPd2
_space_group_name_H-M_alt 'C 1 2/m 1'
_space_group_IT_number 12
_space_group_name_Hall '-C 2y'
_cell_length_a 17.338
_cell_length_b 5.010
_cell_length_c 6.772
_cell_angle_alpha 90.00
_cell_angle_beta 107.01
_cell_angle_gamma 90.00
loop_
_atom_site_label
_atom_site_type_symbol
_atom_site_fract_x
_atom_site_fract_y
_atom_site_fract_z
Tm1 Tm 0.033 0.000 0.281
Tm2 Tm 0.094 0.500 0.964
Tm3 Tm 0.172 0.500 0.478
Tm4 Tm 0.199 0.000 0.819
Ga1 Ga 0.000 0.500 0.500
Pd1 Pd 0.184 0.000 0.215
```

Calculated values
Distance to the lowest polymorph of the same formula   0.0 meV/atom

---

| no. | ΔE_f (eV per atom) |
| --- | --- |
| 1 | -0.48 |
| 2 | -0.30 |
| 3 | -0.46 |